The following is a PBE calculation of a relaxed Ba6PtBr3N2 crystal, from Alexandria.

Summary:
Formation energy from raw total energies, meV/atom: -1169

```
Ba6PtBr3N2
1.0
-0.776 6.555 -3.630
-4.718 -5.712 -1.364
-3.025 2.350 7.459
Ba Pt Br N
6 1 3 2
Direct
0.929 0.566 0.806
0.705 0.705 0.191
0.071 0.434 0.194
0.566 0.929 0.806
0.295 0.295 0.809
0.434 0.071 0.194
0.000 0.000 0.000
0.162 0.838 0.500
0.838 0.162 0.500
0.500 0.500 0.500
0.333 0.667 0.000
0.667 0.333 0.000
```

The following is a PBE calculation of a relaxed Ba2PtBrN crystal, from Alexandria.

Summary:
Formation energy from raw total energies, meV/atom: -1005

```
Ba2PtBrN
1.0
5.837 0.000 0.000
0.000 5.837 0.000
0.000 0.000 3.912
Br Ba Pt N
1 2 1 1
Direct
0.500 0.500 0.500
0.000 0.500 0.000
0.500 0.000 0.000
0.000 0.000 0.500
0.000 0.000 0.000
```

The following is a PBE calculation of a relaxed Ba6Pt2Br3N crystal, from Alexandria.

Summary:
Formation energy from raw total energies, meV/atom: -1216

```
Ba6Pt2Br3N
1.0
7.774 0.000 -0.002
-3.885 6.734 -0.002
-1.300 -2.250 8.097
Ba Pt Br N
6 2 3 1
Direct
0.933 0.631 0.800
0.765 0.765 0.200
0.067 0.369 0.200
0.631 0.933 0.800
0.235 0.235 0.800
0.369 0.067 0.200
0.333 0.667 0.000
0.667 0.333 0.000
0.168 0.832 0.500
0.832 0.168 0.500
0.500 0.500 0.500
0.000 0.000 0.000
```

The following is a PBE calculation of a relaxed Ba8Pt3Br4N crystal, from Alexandria.

Summary:
Formation energy from raw total energies, meV/atom: -1222

```
Ba8Pt3Br4N
1.0
-4.515 7.217 -3.014
0.880 -3.242 -9.082
-3.800 -5.487 6.084
Ba Pt Br N
8 3 4 1
Direct
0.220 0.696 0.976
0.220 0.696 0.440
0.259 0.278 0.518
0.756 0.696 0.976
0.244 0.304 0.024
0.741 0.722 0.482
0.780 0.304 0.560
0.780 0.304 0.024
0.500 0.500 0.000
0.500 0.500 0.500
0.000 0.500 0.500
0.500 0.000 0.000
0.500 0.000 0.500
0.000 0.000 0.000
0.000 0.000 0.500
0.000 0.500 0.000
```

The following is a PBE calculation of a relaxed Ba6Pt2BrN crystal, from Alexandria.

Summary:
Formation energy from raw total energies, meV/atom: -737

```
Ba6Pt2BrN
1.0
-3.135 6.144 -3.208
-7.599 -2.606 2.435
1.100 5.783 9.622
Ba Pt Br N
12 4 2 2
Direct
0.293 0.660 0.067
0.793 0.840 0.567
0.707 0.340 0.933
0.207 0.160 0.433
0.345 0.708 0.420
0.845 0.792 0.920
0.655 0.292 0.580
0.155 0.208 0.080
0.858 0.556 0.226
0.358 0.944 0.726
0.142 0.444 0.774
0.642 0.056 0.274
0.046 0.900 0.257
0.546 0.600 0.757
0.954 0.100 0.743
0.454 0.400 0.243
0.500 0.000 0.000
0.000 0.500 0.500
0.500 0.000 0.500
0.000 0.500 0.000
```

The following is a PBE calculation of a relaxed Ba8Pt3Br3N crystal, from Alexandria.

Summary:
Formation energy from raw total energies, meV/atom: -1066

```
Ba8Pt3Br3N
1.0
9.058 0.000 0.000
-4.530 7.846 -0.032
0.000 -5.199 8.264
Ba Pt Br N
8 3 3 1
Direct
0.261 0.521 0.282
0.739 0.479 0.718
0.784 0.567 0.308
0.216 0.433 0.692
0.784 0.024 0.308
0.216 0.976 0.692
0.241 0.024 0.308
0.759 0.976 0.692
0.500 0.000 0.500
0.500 0.500 0.500
0.000 0.500 0.500
0.000 0.000 0.000
0.000 0.500 0.000
0.500 0.500 0.000
0.000 0.000 0.500
```

The following is a PBE calculation of a relaxed Rb2BaBr6N crystal, from Alexandria.

Summary:
Formation energy from raw total energies, meV/atom: -753

```
Rb2BaBr6N
1.0
-5.859 -2.880 4.934
5.645 -4.009 4.362
0.482 0.910 7.889
Br Ba Rb N
6 1 2 1
Direct
0.288 0.288 0.424
0.712 0.712 0.576
0.269 0.269 0.000
0.731 0.731 0.000
0.731 0.269 0.000
0.269 0.731 0.000
0.000 0.000 0.000
0.750 0.250 0.500
0.250 0.750 0.500
0.500 0.500 0.000
```

The following is a PBE calculation of a relaxed Ba8Rh3Br4N crystal, from Alexandria.

Summary:
Formation energy from raw total energies, meV/atom: -982

```
Ba8Rh3Br4N
1.0
8.963 0.000 0.000
0.000 9.578 0.427
-4.482 -4.476 6.342
Ba Rh Br N
8 3 4 1
Direct
0.223 0.697 0.973
0.223 0.697 0.447
0.261 0.284 0.523
0.750 0.697 0.973
0.250 0.303 0.027
0.739 0.716 0.477
0.777 0.303 0.553
0.777 0.303 0.027
0.500 0.500 0.000
0.500 0.500 0.500
0.000 0.500 0.500
0.500 0.000 0.000
0.500 0.000 0.500
0.000 0.000 0.000
0.000 0.000 0.500
0.000 0.500 0.000
```

The following is a PBE calculation of a relaxed Ba4RhBr2N crystal, from Alexandria.

Summary:
Formation energy from raw total energies, meV/atom: -1050

```
Ba4RhBr2N
1.0
4.375 0.000 0.000
0.000 7.614 0.141
0.000 -2.672 7.967
Ba Rh Br N
4 1 2 1
Direct
0.500 0.260 0.197
0.500 0.740 0.803
0.000 0.278 0.808
0.000 0.722 0.192
0.000 0.000 0.000
0.500 0.000 0.500
0.000 0.500 0.500
0.500 0.500 0.000
```

The following is a PBE calculation of a relaxed Ba2RhBrN crystal, from Alexandria.

Summary:
Formation energy from raw total energies, meV/atom: -959

```
Ba2RhBrN
1.0
5.834 0.000 0.000
0.000 5.834 0.000
0.000 0.000 3.855
Rh Ba Br N
1 2 1 1
Direct
0.000 0.000 0.500
0.000 0.500 0.000
0.500 0.000 0.000
0.500 0.500 0.500
0.000 0.000 0.000
```

The following is a PBE calculation of a relaxed Ba8Rh3Br3N crystal, from Alexandria.

Summary:
Formation energy from raw total energies, meV/atom: -823

```
Ba8Rh3Br3N
1.0
8.918 0.000 0.000
-4.459 7.723 -0.032
0.000 -5.116 8.318
Ba Rh Br N
8 3 3 1
Direct
0.261 0.522 0.283
0.739 0.478 0.717
0.784 0.568 0.314
0.216 0.432 0.686
0.784 0.030 0.314
0.216 0.970 0.686
0.246 0.030 0.314
0.754 0.970 0.686
0.500 0.000 0.500
0.500 0.500 0.500
0.000 0.500 0.500
0.000 0.000 0.000
0.000 0.500 0.000
0.500 0.500 0.000
0.000 0.000 0.500
```

The following is a PBE calculation of a relaxed Ba2RuBrN crystal, from Alexandria.

Summary:
Formation energy from raw total energies, meV/atom: -841

```
Ba2RuBrN
1.0
5.854 0.000 0.000
0.000 5.854 0.000
0.000 0.000 3.839
Ru Ba Br N
1 2 1 1
Direct
0.000 0.000 0.500
0.000 0.500 0.000
0.500 0.000 0.000
0.500 0.500 0.500
0.000 0.000 0.000
```

The following is a PBE calculation of a relaxed BaS2BrN crystal, from Alexandria.

Summary:
Formation energy from raw total energies, meV/atom: 347
Excess energy over the best structure of this formula in the dataset, eV per atom: 0.000

```
BaS2BrN
1.0
5.256 0.000 0.000
0.000 5.256 0.000
0.000 0.000 4.200
S Ba Br N
2 1 1 1
Direct
0.000 0.500 0.000
0.500 0.000 0.000
0.500 0.500 0.500
0.000 0.000 0.000
0.000 0.000 0.500
```

The following is a PBE calculation of a relaxed Ba6SBr3N2 crystal, from Alexandria.

Summary:
Formation energy from raw total energies, meV/atom: -1402

```
Ba6SBr3N2
1.0
-3.676 -4.558 -4.654
6.345 3.282 -2.217
3.250 -5.724 5.055
Ba S Br N
6 1 3 2
Direct
0.935 0.572 0.804
0.703 0.703 0.194
0.065 0.428 0.196
0.572 0.935 0.804
0.297 0.297 0.806
0.428 0.065 0.196
0.000 0.000 0.000
0.159 0.841 0.500
0.841 0.159 0.500
0.500 0.500 0.500
0.332 0.668 0.000
0.668 0.332 0.000
```

The following is a PBE calculation of a relaxed BaS2BrN crystal, from Alexandria.

Summary:
Formation energy from raw total energies, meV/atom: 1244
Excess energy over the best structure of this formula in the dataset, eV per atom: 0.897

```
BaS2BrN
1.0
6.290 0.000 0.000
0.000 6.290 0.000
0.000 0.000 5.357
S Ba Br N
2 1 1 1
Direct
0.000 0.500 0.000
0.500 0.000 0.000
0.000 0.000 0.000
0.500 0.500 0.500
0.000 0.000 0.500
```

The following is a PBE calculation of a relaxed BaSBrN2 crystal, from Alexandria.

Summary:
Formation energy from raw total energies, meV/atom: 1478
Excess energy over the best structure of this formula in the dataset, eV per atom: 0.443

```
BaSBrN2
1.0
5.405 0.000 0.000
0.000 5.405 0.000
0.000 0.000 6.390
S Ba Br N
1 1 1 2
Direct
0.000 0.000 0.500
0.000 0.000 0.000
0.500 0.500 0.500
0.000 0.500 0.000
0.500 0.000 0.000
```

The following is a PBE calculation of a relaxed Ba8S3Br3N crystal, from Alexandria.

Summary:
Formation energy from raw total energies, meV/atom: -1547

```
Ba8S3Br3N
1.0
9.017 -0.001 -0.001
-4.509 7.806 -0.027
0.000 -5.174 7.819
Ba S Br N
8 3 3 1
Direct
0.260 0.519 0.279
0.740 0.481 0.721
0.778 0.557 0.295
0.222 0.443 0.705
0.778 0.017 0.295
0.222 0.983 0.705
0.239 0.017 0.295
0.761 0.983 0.705
0.500 0.000 0.500
0.500 0.500 0.500
0.000 0.500 0.500
0.000 0.000 0.000
0.000 0.500 0.000
0.500 0.500 0.000
0.000 0.000 0.500
```

The following is a PBE calculation of a relaxed Ba8S3Br4N crystal, from Alexandria.

Summary:
Formation energy from raw total energies, meV/atom: -1690

```
Ba8S3Br4N
1.0
8.999 0.000 0.000
0.000 9.359 0.247
-4.499 -4.496 6.366
Ba S Br N
8 3 4 1
Direct
0.221 0.705 0.983
0.222 0.705 0.443
0.260 0.279 0.519
0.762 0.705 0.983
0.238 0.295 0.017
0.740 0.721 0.481
0.778 0.295 0.557
0.779 0.295 0.017
0.500 0.500 0.000
0.500 0.500 0.500
0.000 0.500 0.500
0.500 0.000 0.000
0.500 0.000 0.500
0.000 0.000 0.000
0.000 0.000 0.500
0.000 0.500 0.000
```

The following is a PBE calculation of a relaxed BaSBrN2 crystal, from Alexandria.

Summary:
Formation energy from raw total energies, meV/atom: 1035
Excess energy over the best structure of this formula in the dataset, eV per atom: 0.000

```
BaSBrN2
1.0
4.462 0.000 0.000
0.000 4.462 0.000
0.000 0.000 5.131
S Ba Br N
1 1 1 2
Direct
0.000 0.000 0.500
0.500 0.500 0.500
0.000 0.000 0.000
0.000 0.500 0.000
0.500 0.000 0.000
```

The following is a PBE calculation of a relaxed Ba6S2Br3N crystal, from Alexandria.

Summary:
Formation energy from raw total energies, meV/atom: -1631

```
Ba6S2Br3N
1.0
-3.726 5.512 3.924
4.066 -5.355 3.801
6.230 4.501 -2.945
Ba S Br N
6 2 3 1
Direct
0.932 0.626 0.795
0.763 0.763 0.208
0.068 0.374 0.205
0.626 0.932 0.795
0.237 0.237 0.792
0.374 0.068 0.205
0.334 0.666 0.000
0.666 0.334 0.000
0.172 0.828 0.500
0.828 0.172 0.500
0.500 0.500 0.500
0.000 0.000 0.000
```